1.
The following is a PBE calculation of a relaxed K3Ba2CeO6 crystal, from Alexandria via LeMat-Bulk.

abc: 6.6821 6.6821 6.6996
angles: 99.56 99.56 120.15
Last column: nearest neighbours and their distance in Å.
Element x y z (fractional)
1 K 0.0000 0.0000 0.0000  4 O 2.81
2 K 0.3421 0.6579 0.0000  4 O 2.77-2.80
3 K 0.6579 0.3421 0.0000  4 O 2.77-2.80
4 Ba 0.1672 0.8328 0.5000  6 O 2.70-2.72
5 Ba 0.8328 0.1672 0.5000  6 O 2.70-2.72
6 Ce 0.5000 0.5000 0.5000  6 O 2.28-2.30
7 O 0.1470 0.4327 0.2975  1 Ce 2.30
8 O 0.2785 0.2785 0.6969  1 Ce 2.28
9 O 0.4327 0.1470 0.2975  1 Ce 2.30
10 O 0.5673 0.8530 0.7025  1 Ce 2.30
11 O 0.7215 0.7215 0.3031  1 Ce 2.28
12 O 0.8530 0.5673 0.7025  1 Ce 2.30

Summary:
**Formation energy from raw total energies**: -26.27 eV per formula unit

=====

2.
The following is a PBE calculation of a relaxed Fe4Co2Ni crystal, from Alexandria via LeMat-Bulk.

abc: 5.7281 7.9104 3.8575
angles: 90.00 90.00 90.00
Last column: nearest neighbours and their distance in Å.
Element x y z (fractional)
1 Fe 0.2183 0.0000 0.0000  4 Co 2.44-2.46, 1 Fe 2.50, 2 Ni 2.51
2 Fe 0.2500 0.2500 0.5000  4 Co 2.41, 2 Ni 2.44
3 Fe 0.2500 0.7500 0.5000  4 Co 2.41, 2 Ni 2.44
4 Fe 0.2817 0.5000 0.0000  4 Co 2.44-2.46, 1 Fe 2.50, 2 Ni 2.51
5 Fe 0.7183 0.5000 0.0000  4 Co 2.44-2.46, 1 Fe 2.50, 2 Ni 2.51
6 Fe 0.7500 0.2500 0.5000  4 Co 2.41, 2 Ni 2.44
7 Fe 0.7500 0.7500 0.5000  4 Co 2.41, 2 Ni 2.44
8 Fe 0.7817 0.0000 0.0000  4 Co 2.44-2.46, 1 Fe 2.50, 2 Ni 2.51
9 Co 0.0000 0.2647 0.0000  8 Fe 2.41-2.46, 2 Ni 2.68
10 Co 0.0000 0.7353 0.0000  8 Fe 2.41-2.46, 2 Ni 2.68
11 Co 0.5000 0.2353 0.0000  8 Fe 2.41-2.46, 2 Ni 2.68
12 Co 0.5000 0.7647 0.0000  8 Fe 2.41-2.46, 2 Ni 2.68
13 Ni 0.0000 0.5000 0.5000  8 Fe 2.44-2.51, 4 Co 2.68
14 Ni 0.5000 0.0000 0.5000  8 Fe 2.44-2.51, 4 Co 2.68

Summary:
**ΔH_f (0 K)**: 3.99 kcal/mol of atoms

=====

3.
The following is a PBE calculation of a relaxed PrPa2Tc crystal, from Alexandria via LeMat-Bulk.

abc: 3.5390 3.5390 8.1337
angles: 90.00 90.00 90.00
Last column: nearest neighbours and their distance in Å.
Element x y z (fractional)
1 Pr 0.0000 0.0000 0.0000  4 Pr 3.54, 8 Pa 3.57
2 Pa 0.5000 0.5000 0.3133  4 Tc 2.93, 1 Pa 3.04
3 Pa 0.5000 0.5000 0.6867  4 Tc 2.93, 1 Pa 3.04
4 Tc 0.0000 0.0000 0.5000  8 Pa 2.93

Summary:
**ΔH_f (0 K)**: 2.01 kcal/mol of atoms

=====

4.
The following is a PBE calculation of a relaxed CoHg2Se crystal, from Alexandria via LeMat-Bulk.

abc: 9.3691 9.3691 4.3752
angles: 90.00 90.00 90.00
Last column: nearest neighbours and their distance in Å.
Element x y z (fractional)
1 Co 0.0000 0.0000 0.0000  2 Se 2.19
2 Co 0.0000 0.5000 0.2500  2 Se 2.19
3 Co 0.5000 0.0000 0.7500  2 Se 2.19
4 Co 0.5000 0.5000 0.5000  2 Se 2.19
5 Hg 0.1358 0.7500 0.1250  2 Co 2.72
6 Hg 0.2500 0.1358 0.8750  2 Co 2.72
7 Hg 0.2500 0.3642 0.3750  2 Co 2.72
8 Hg 0.3642 0.7500 0.6250  2 Co 2.72
9 Hg 0.6358 0.2500 0.6250  2 Co 2.72
10 Hg 0.7500 0.6358 0.3750  2 Co 2.72
11 Hg 0.7500 0.8642 0.8750  2 Co 2.72
12 Hg 0.8642 0.2500 0.1250  2 Co 2.72
13 Se 0.0000 0.0000 0.5000  2 Co 2.19
14 Se 0.0000 0.5000 0.7500  2 Co 2.19
15 Se 0.5000 0.0000 0.2500  2 Co 2.19
16 Se 0.5000 0.5000 0.0000  2 Co 2.19

Summary:
**Formation energy from raw total energies**: 0.79 eV per formula unit